ScPd2F PBE-GGA relaxed; distance to the lowest polymorph of the same formula = 108.5 meV per atom; formation energy without anion corrections = -784 meV/atom
1.0
0.0000 3.1466 3.1466
3.1466 0.0000 3.1466
3.1466 3.1466 0.0000
Sc Pd F
1 2 1
Cartesian
0.0000 0.0000 0.0000
1.5733 1.5733 1.5733
4.7199 4.7199 4.7199
3.1466 3.1466 3.1466

---

Na3Ge5Cl12 PBE-GGA relaxed; formation energy without anion corrections = -894 meV/atom
1.0
-8.3755 8.3755 8.3755
8.3755 -8.3755 8.3755
8.3755 8.3755 -8.3755
Na Ge Cl
12 20 48
Cartesian
4.1877 2.0939 0.0000
8.3755 4.1877 -2.0939
2.0939 0.0000 4.1877
10.4694 0.0000 4.1877
0.0000 4.1877 2.0939
4.1877 -2.0939 8.3755
4.1877 10.4694 0.0000
8.3755 4.1877 6.2816
-2.0939 8.3755 4.1877
6.2816 8.3755 4.1877
0.0000 4.1877 10.4694
4.1877 6.2816 8.3755
0.0000 0.0000 0.0000
4.1877 4.1877 -4.1877
4.1877 -4.1877 4.1877
8.3755 0.0000 0.0000
12.5632 2.0939 0.0000
8.3755 -4.1877 6.2816
6.2816 8.3755 -4.1877
6.2816 0.0000 4.1877
4.1877 6.2816 0.0000
8.3755 4.1877 2.0939
-4.1877 4.1877 4.1877
0.0000 8.3755 0.0000
0.0000 0.0000 8.3755
4.1877 4.1877 4.1877
0.0000 4.1877 6.2816
4.1877 2.0939 8.3755
2.0939 8.3755 4.1877
2.0939 0.0000 12.5632
0.0000 12.5632 2.0939
-4.1877 6.2816 8.3755
2.5071 -0.3811 0.9628
10.0561 5.1505 -4.5688
10.8826 0.3811 0.9628
10.0561 -3.2250 4.5688
7.9944 -0.9628 2.5071
12.9443 -1.6806 3.2250
0.9628 2.5071 -0.3811
11.6005 3.8067 -1.6806
5.1505 4.5688 -1.6806
7.4127 2.5071 0.3811
-0.3811 0.9628 2.5071
4.5688 -1.6806 5.1505
7.9944 7.4127 -2.5071
4.5688 1.6806 3.2250
5.1505 -4.5688 10.0561
7.4127 -2.5071 7.9944
3.2250 4.5688 1.6806
9.3383 5.8684 0.3811
4.5688 10.0561 -3.2250
7.9944 0.9628 5.8684
2.5071 7.9944 -0.9628
10.0561 3.2250 3.8067
1.6806 3.2250 4.5688
2.5071 0.3811 7.4127
5.8684 7.9944 0.9628
6.6949 5.1505 3.8067
-1.6806 5.1505 4.5688
5.8684 0.3811 9.3383
0.3811 7.4127 2.5071
3.8067 -1.6806 11.6005
-0.9628 2.5071 7.9944
5.1505 3.8067 6.6949
0.9628 10.8826 0.3811
3.2250 12.9443 -1.6806
3.8067 6.6949 5.1505
0.3811 0.9628 10.8826
3.8067 10.0561 3.2250
8.7565 7.4127 5.8684
0.9628 5.8684 7.9944
3.2250 3.8067 10.0561
-3.2250 4.5688 10.0561
7.4127 5.8684 8.7565
-4.5688 10.0561 5.1505
0.3811 9.3383 5.8684
-1.6806 11.6005 3.8067
-2.5071 7.9944 7.4127
-1.6806 3.2250 12.9443
5.8684 8.7565 7.4127

---

VASP calculation (PBE-GGA) on a relaxed Hf2TlHCl crystal.

POSCAR file:
```
Hf2TlHCl
1.0
4.6965 0.0000 0.0000
0.0000 4.6965 0.0000
0.0000 0.0000 5.8062
Hf Tl H Cl
2 1 1 1
Cartesian
0.0000 2.3482 0.0000
2.3482 0.0000 0.0000
0.0000 0.0000 2.9031
2.3482 2.3482 2.9031
0.0000 0.0000 0.0000
```

---

no.,final energy (eV per atom),ρ (kg/m³),density of states at the Fermi level (states/eV per cell)
1,-5.43,7377,1.41
2,-3.35,2424,32.16
3,-4.43,7752,3.17